This record from Alexandria describes Dy3Co3Si8 after structural relaxation. The functional is GGA-PBE.

Computed properties:
Space group ... C2/m
Formation energy from raw total energies ... -528 meV/atom
Energy above the most stable polymorph in this dataset ... 0.000 eV per atom

a = 4.027 Å, b = 7.647 Å, c = 8.306 Å
α = 63.00°, β = 75.97°, γ = 74.73°
Fractional coordinates of all 14 atoms:
Dy1 0.293 0.755 0.659
Dy2 0.707 0.245 0.341
Dy3 0.000 0.000 0.000
Co1 0.000 0.500 0.500
Co2 0.677 0.656 0.990
Co3 0.323 0.344 0.010
Si1 0.110 0.163 0.616
Si2 0.890 0.837 0.384
Si3 0.855 0.435 0.855
Si4 0.145 0.565 0.145
Si5 0.522 0.669 0.288
Si6 0.478 0.331 0.712
Si7 0.365 0.026 0.245
Si8 0.635 0.974 0.755

=====

This record from Alexandria describes Dy3Co6Si2 after structural relaxation. The functional is GGA-PBE.

Computed properties:
Space group ... Im-3m
Formation energy from raw total energies ... -461 meV/atom

a = 7.544 Å, b = 7.544 Å, c = 7.544 Å
α = 109.47°, β = 109.47°, γ = 109.47°
Site moments in Bohr magnetons follow the coordinates.
Fractional coordinates of all 22 atoms:
Dy1 0.715 0.000 0.715  -0.10
Dy2 0.285 0.000 0.285  -0.10
Dy3 0.000 0.285 0.285  -0.10
Dy4 0.000 0.715 0.715  -0.10
Dy5 0.285 0.285 0.000  -0.10
Dy6 0.715 0.715 0.000  -0.10
Co1 0.664 0.327 0.664  0.73
Co2 0.664 0.000 0.336  0.73
Co3 0.336 0.000 0.664  0.73
Co4 0.336 0.673 0.336  0.73
Co5 0.000 0.664 0.336  0.73
Co6 0.673 0.336 0.336  0.73
Co7 0.327 0.664 0.664  0.73
Co8 0.000 0.336 0.664  0.73
Co9 0.336 0.664 0.000  0.73
Co10 0.664 0.664 0.327  0.73
Co11 0.336 0.336 0.673  0.73
Co12 0.664 0.336 0.000  0.73
Si1 0.000 0.500 0.000  -0.01
Si2 0.500 0.000 0.000  -0.01
Si3 0.000 0.000 0.500  -0.01
Si4 0.500 0.500 0.500  -0.01

=====

This record from Alexandria describes Dy3CoSi3 after structural relaxation. The functional is GGA-PBE.

Computed properties:
Space group ... C2/m
Formation energy from raw total energies ... -788 meV/atom

a = 4.170 Å, b = 5.642 Å, c = 12.734 Å
α = 84.93°, β = 80.58°, γ = 68.31°
Fractional coordinates of all 14 atoms:
Dy1 0.524 0.331 0.621
Dy2 0.476 0.669 0.379
Dy3 0.252 0.266 0.229
Dy4 0.748 0.734 0.771
Dy5 0.400 0.281 0.919
Dy6 0.600 0.719 0.081
Co1 0.753 0.076 0.419
Co2 0.247 0.924 0.581
Si1 0.859 0.737 0.544
Si2 0.141 0.263 0.456
Si3 0.115 0.847 0.924
Si4 0.885 0.153 0.076
Si5 0.945 0.867 0.242
Si6 0.055 0.133 0.758

=====

This record from Alexandria describes DyCoSi2Tc after structural relaxation. The functional is GGA-PBE.

Computed properties:
Space group ... I-4m2
Formation energy from raw total energies ... -717 meV/atom

a = 4.084 Å, b = 4.084 Å, c = 5.629 Å
α = 111.27°, β = 111.27°, γ = 90.00°
Fractional coordinates of all 5 atoms:
Dy1 0.000 0.000 0.000
Co1 0.250 0.750 0.500
Si1 0.630 0.630 0.259
Si2 0.370 0.370 0.741
Tc1 0.750 0.250 0.500

=====

This record from Alexandria describes DyCoSi3Tc after structural relaxation. The functional is GGA-PBE.

Computed properties:
Space group ... Cmcm
Formation energy from raw total energies ... -365 meV/atom

a = 5.428 Å, b = 7.370 Å, c = 6.505 Å
α = 124.51°, β = 90.00°, γ = 90.00°
Fractional coordinates of all 12 atoms:
Dy1 0.750 0.242 0.484
Dy2 0.250 0.758 0.516
Co1 0.250 0.038 0.076
Co2 0.750 0.962 0.924
Si1 0.250 0.233 0.465
Si2 0.000 0.242 0.000
Si3 0.500 0.758 0.000
Si4 0.500 0.242 0.000
Si5 0.000 0.758 0.000
Si6 0.750 0.767 0.535
Tc1 0.250 0.441 0.883
Tc2 0.750 0.559 0.117

=====

This record from Alexandria describes SmDy2Co2 after structural relaxation. The functional is GGA-PBE.

Computed properties:
Space group ... Cmmm
Energy above the most stable polymorph in this dataset ... 0.000 eV per atom
Energy of formation from the pure elements ... -12.4 kJ per mole of atoms

a = 3.995 Å, b = 3.909 Å, c = 7.564 Å
α = 104.98°, β = 90.00°, γ = 90.00°
Site moments in Bohr magnetons follow the coordinates.
Fractional coordinates of all 5 atoms:
Sm1 0.000 0.000 0.000  0.02
Dy1 0.500 0.651 0.302  -0.07
Dy2 0.500 0.349 0.698  -0.07
Co1 0.000 0.207 0.415  0.45
Co2 0.000 0.793 0.585  0.45